(1)
Compound: TbPmMgMn
Source: Alexandria
Functional: GGA-PBE
Structure: relaxed

The volume is 103 Å³/f.u. For the density of states at the Fermi level, the calculation gives 1.2431 states/eV per atom. Its total energy is -78.87 eV for the cell shown. For the formation energy, the calculation gives 2.472 kcal/mol of atoms.

The structure belongs to space group F-43m (No. 216); the cell edges are 7.4338, 7.4338 and 7.4338 Å and the angles 90.00°, 90.00° and 90.00°. The distinct sites, in fractional coordinates, are Tb at (0.0000, 0.0000, 0.0000), Pm at (0.0000, 0.0000, 0.5000), Mg at (0.2500, 0.2500, 0.2500) and Mn at (0.2500, 0.2500, 0.7500).


(2)
Compound: Cu2RuSe
Source: Alexandria
Functional: GGA-PBE
Structure: relaxed

The volume is 57 Å³/f.u. Its formation energy (no corrections) is 0.21 eV/atom. For the density of states at the Fermi level, the calculation gives 0.6767 states/eV per atom. Its total energy is -40.22 eV for the cell shown.

The structure belongs to space group Cm (No. 8); the cell edges are 8.6356, 3.1377 and 4.4227 Å and the angles 90.00°, 109.00° and 90.00°. The distinct sites, in fractional coordinates, are Cu at (0.0000, 0.0000, 0.0000), Cu at (0.2469, 0.5000, 0.1514), Ru at (0.2278, 0.0000, 0.6384) and Se at (0.4963, 0.0000, 0.5248).